# 1
DFT (GGA-PBE) results for a relaxed CaYMo2 crystal.

Cell lengths 4.418, 4.418, 7.611 Å; angles 94.37, 94.37, 43.54 degrees
Element x y z (fractional)
Ca 0.000 0.000 0.000
Y 0.779 0.779 0.383
Mo 0.249 0.249 0.739
Mo 0.527 0.527 0.616

Properties
formation energy from the elements: 185 kJ/mol of formula units
D(E_F): 3.6 states/eV per cell
energy: -28.2 eV/cell



# 2
DFT (GGA-PBE) results for a relaxed CaYMo crystal.

Cell lengths 7.093, 7.093, 7.093 Å; angles 153.42, 149.48, 40.90 degrees
Element x y z (fractional)
Ca 0.000 0.000 0.000
Y 0.272 0.272 0.000
Mo 0.647 0.647 0.000

Properties
formation energy from the elements: 168 kJ/mol of formula units
D(E_F): 5.3 states/eV per cell
energy: -17.6 eV/cell